(1)
Compound: Pd4WC2
Source: the Alexandria database
Functional: PBE
Structure: optimized geometry

Results
Magnetization: 0.00 μB per cell
Formation energy from the elements: 1274 meV per atom
D(E_F): 5.578 states/eV per cell
Final energy: -43.3 eV for the cell shown

Structure (CIF):
```
data_Pd4WC2
_symmetry_space_group_name_H-M 'P 1'
_symmetry_Int_Tables_number 1
_cell_length_a 4.915
_cell_length_b 4.915
_cell_length_c 6.207
_cell_angle_alpha 66.68
_cell_angle_beta 66.68
_cell_angle_gamma 90.00
loop_
_symmetry_equiv_pos_as_xyz
'x,y,z'
loop_
_atom_site_label
_atom_site_type_symbol
_atom_site_fract_x
_atom_site_fract_y
_atom_site_fract_z
_atom_site_occupancy
C1 C 0.563 0.563 0.874 1
C2 C 0.437 0.437 0.126 1
Pd1 Pd 0.759 0.759 0.482 1
Pd2 Pd 0.241 0.241 0.518 1
Pd3 Pd 0.000 0.500 0.000 1
Pd4 Pd 0.500 0.000 0.000 1
W1 W 0.000 0.000 0.000 1
```

=====

(2)
Compound: Pd2WC2
Source: the Alexandria database
Functional: PBE
Structure: optimized geometry

Results
Magnetization: 0.00 μB per cell
Polymorph energy (0 for the lowest one): 0.00 eV per formula unit
Formation energy from the elements: 1204 meV per atom
D(E_F): 2.244 states/eV per cell
Final energy: -35.8 eV for the cell shown

Structure (CIF):
```
data_Pd2WC2
_symmetry_space_group_name_H-M 'P 1'
_symmetry_Int_Tables_number 1
_cell_length_a 2.658
_cell_length_b 2.658
_cell_length_c 8.445
_cell_angle_alpha 80.94
_cell_angle_beta 80.94
_cell_angle_gamma 90.00
loop_
_symmetry_equiv_pos_as_xyz
'x,y,z'
loop_
_atom_site_label
_atom_site_type_symbol
_atom_site_fract_x
_atom_site_fract_y
_atom_site_fract_z
_atom_site_occupancy
C1 C 0.750 0.250 0.500 1
C2 C 0.250 0.750 0.500 1
Pd1 Pd 0.375 0.375 0.251 1
Pd2 Pd 0.625 0.625 0.749 1
W1 W 0.000 0.000 0.000 1
```

=====

(3)
Compound: PdWC2
Source: the Alexandria database
Functional: PBE
Structure: optimized geometry

Results
Magnetization: 0.00 μB per cell
Polymorph energy (0 for the lowest one): 2.52 eV per formula unit
Formation energy from the elements: 1352 meV per atom
D(E_F): 1.162 states/eV per cell
Final energy: -31.2 eV for the cell shown

Structure (CIF):
```
data_PdWC2
_symmetry_space_group_name_H-M 'P 1'
_symmetry_Int_Tables_number 1
_cell_length_a 3.883
_cell_length_b 3.883
_cell_length_c 3.883
_cell_angle_alpha 60.00
_cell_angle_beta 60.00
_cell_angle_gamma 60.00
loop_
_symmetry_equiv_pos_as_xyz
'x,y,z'
loop_
_atom_site_label
_atom_site_type_symbol
_atom_site_fract_x
_atom_site_fract_y
_atom_site_fract_z
_atom_site_occupancy
C1 C 0.250 0.250 0.250 1
C2 C 0.750 0.750 0.750 1
Pd1 Pd 0.000 0.000 0.000 1
W1 W 0.500 0.500 0.500 1
```

=====

What did the second record say?
Compound: Pd2WC2
Source: the Alexandria database
Functional: PBE
Structure: optimized geometry

Results
Magnetization: 0.00 μB per cell
Polymorph energy (0 for the lowest one): 0.00 eV per formula unit
Formation energy from the elements: 1204 meV per atom
D(E_F): 2.244 states/eV per cell
Final energy: -35.8 eV for the cell shown

Structure (CIF):
```
data_Pd2WC2
_symmetry_space_group_name_H-M 'P 1'
_symmetry_Int_Tables_number 1
_cell_length_a 2.658
_cell_length_b 2.658
_cell_length_c 8.445
_cell_angle_alpha 80.94
_cell_angle_beta 80.94
_cell_angle_gamma 90.00
loop_
_symmetry_equiv_pos_as_xyz
'x,y,z'
loop_
_atom_site_label
_atom_site_type_symbol
_atom_site_fract_x
_atom_site_fract_y
_atom_site_fract_z
_atom_site_occupancy
C1 C 0.750 0.250 0.500 1
C2 C 0.250 0.750 0.500 1
Pd1 Pd 0.375 0.375 0.251 1
Pd2 Pd 0.625 0.625 0.749 1
W1 W 0.000 0.000 0.000 1
```

=====

What did the third record say?
Compound: PdWC2
Source: the Alexandria database
Functional: PBE
Structure: optimized geometry

Results
Magnetization: 0.00 μB per cell
Polymorph energy (0 for the lowest one): 2.52 eV per formula unit
Formation energy from the elements: 1352 meV per atom
D(E_F): 1.162 states/eV per cell
Final energy: -31.2 eV for the cell shown

Structure (CIF):
```
data_PdWC2
_symmetry_space_group_name_H-M 'P 1'
_symmetry_Int_Tables_number 1
_cell_length_a 3.883
_cell_length_b 3.883
_cell_length_c 3.883
_cell_angle_alpha 60.00
_cell_angle_beta 60.00
_cell_angle_gamma 60.00
loop_
_symmetry_equiv_pos_as_xyz
'x,y,z'
loop_
_atom_site_label
_atom_site_type_symbol
_atom_site_fract_x
_atom_site_fract_y
_atom_site_fract_z
_atom_site_occupancy
C1 C 0.250 0.250 0.250 1
C2 C 0.750 0.750 0.750 1
Pd1 Pd 0.000 0.000 0.000 1
W1 W 0.500 0.500 0.500 1
```

=====

The lowest D(E_F) belongs to which entry?
PdWC2

=====

The highest formation energy from the elements belongs to which entry?
PdWC2